1.
Entry from Alexandria: crystalline SmYTh2S4 at its relaxed geometry (GGA-PBE).

Values from the calculation:
E in eV per cell: -57.820
SG: P2/m (10)
N(E_F) in states/eV/atom: 0.5778
Energy relative to the elements, uncorrected in eV per formula unit: -15.29

abc: 3.9949 6.8437 7.0270
angles: 109.22 90.00 90.00
Element x y z (fractional)
Sm  0.5000  0.5000  0.0000
Y  0.0000  0.0000  0.0000
Th  0.5000  0.0000  0.5000
Th  0.0000  0.5000  0.5000
S  0.5000  0.2427  0.2388
S  0.5000  0.7573  0.7612
S  0.0000  0.2489  0.7587
S  0.0000  0.7511  0.2413


2.
Entry from Alexandria: crystalline CaGe2Sb2 at its relaxed geometry (GGA-PBE).

Values from the calculation:
E in eV per cell: -19.601
SG: I4/mmm (139)
N(E_F) in states/eV/atom: 0.5900
Energy relative to the elements, uncorrected in eV per formula unit: -0.12

abc: 4.4035 4.4035 7.6283
angles: 73.22 73.22 90.00
Element x y z (fractional)
Sb  0.7500  0.2500  0.5000
Sb  0.2500  0.7500  0.5000
Ge  0.4134  0.4134  0.1732
Ge  0.5866  0.5866  0.8268
Ca  0.0000  0.0000  0.0000


3.
Entry from Alexandria: crystalline ZrCdW2I at its relaxed geometry (GGA-PBE).

Values from the calculation:
E in eV per cell: -26.253
SG: P4/mmm (123)
Distance to the lowest polymorph of the same formula in eV/atom: 0.000
N(E_F) in states/eV/atom: 1.1391
Energy relative to the elements, uncorrected in eV per formula unit: 10.67

abc: 4.9741 5.6227 4.9741
angles: 90.00 90.00 90.00
Each line ends with the local moment (μB).
Element x y z (fractional)
I  0.5000  0.5000  0.5000  0.01
Zr  0.0000  0.0000  0.0000  -0.11
W  0.0000  0.0000  0.5000  0.61
W  0.5000  0.0000  0.0000  0.87
Cd  0.0000  0.5000  0.0000  -0.01


4.
Entry from Alexandria: crystalline MnAlCd2 at its relaxed geometry (GGA-PBE).

Values from the calculation:
E in eV per cell: -13.827
Formation energy in kJ/mol of atoms: 22.08
SG: P4/mmm (123)
N(E_F) in states/eV/atom: 0.6739

abc: 2.9818 2.9818 8.4620
angles: 90.00 90.00 90.00
Each line ends with the local moment (μB).
Element x y z (fractional)
Mn  0.5000  0.5000  0.2500  3.59
Al  0.5000  0.5000  0.7500  0.01
Cd  0.0000  0.0000  0.0100  -0.02
Cd  0.0000  0.0000  0.4900  -0.02


5.
Entry from Alexandria: crystalline Nb3HRh at its relaxed geometry (GGA-PBE).

Values from the calculation:
E in eV per cell: -32.509
SG: Pm-3m (221)
Distance to the lowest polymorph of the same formula in eV/atom: 1.796
N(E_F) in states/eV/atom: 0.8865

abc: 4.8422 4.8422 4.8422
angles: 90.00 90.00 90.00
Element x y z (fractional)
H  0.5000  0.5000  0.5000
Nb  0.0000  0.5000  0.0000
Nb  0.0000  0.0000  0.5000
Nb  0.5000  0.0000  0.0000
Rh  0.0000  0.0000  0.0000


6.
Entry from Alexandria: crystalline Tb3Sm2Y8 at its relaxed geometry (GGA-PBE).

Values from the calculation:
E in eV per cell: -71.867
Formation energy in kJ/mol of atoms: 23.56
SG: C2/m (12)
Distance to the lowest polymorph of the same formula in eV/atom: 0.101
N(E_F) in states/eV/atom: 1.9431

abc: 5.6356 7.6446 10.9424
angles: 110.45 90.03 90.00
Element x y z (fractional)
Tb  0.5000  0.0000  0.0000
Tb  0.0000  0.2855  0.0000
Tb  0.0000  0.7145  0.0000
Sm  0.4990  0.2413  0.4826
Sm  0.5010  0.7587  0.5174
Y  0.0009  0.6669  0.3338
Y  0.9991  0.3331  0.6662
Y  0.9998  0.1320  0.2641
Y  0.0002  0.8680  0.7359
Y  0.4997  0.6053  0.7865
Y  0.4997  0.1812  0.7865
Y  0.5003  0.8188  0.2135
Y  0.5003  0.3947  0.2135


7.
Entry from Alexandria: crystalline Ti2TeH2 at its relaxed geometry (GGA-PBE).

Values from the calculation:
E in eV per cell: -27.440
SG: I4/mmm (139)
N(E_F) in states/eV/atom: 0.9772

abc: 3.3262 3.3262 6.0246
angles: 73.98 73.98 90.00
Each line ends with the local moment (μB).
Element x y z (fractional)
H  0.7500  0.2500  0.5000  0.00
H  0.2500  0.7500  0.5000  0.00
Te  0.0000  0.0000  0.0000  -0.01
Ti  0.3547  0.3547  0.2906  0.08
Ti  0.6453  0.6453  0.7094  0.08


8.
Entry from Alexandria: crystalline K2OsW at its relaxed geometry (GGA-PBE).

Values from the calculation:
E in eV per cell: -18.843
Formation energy in kJ/mol of atoms: 181.76
SG: F-43m (216)
Distance to the lowest polymorph of the same formula in eV/atom: 1.069
N(E_F) in states/eV/atom: 0.9731

abc: 4.8940 4.8940 4.8940
angles: 120.03 120.03 89.95
Element x y z (fractional)
K  0.0000  0.0000  0.0000
K  0.2500  0.7500  0.5000
Os  0.5000  0.5000  0.0000
W  0.7500  0.2500  0.5000


9.
Entry from Alexandria: crystalline ThSc2Ir at its relaxed geometry (GGA-PBE).

Values from the calculation:
E in eV per cell: -124.847
Formation energy in kJ/mol of atoms: -54.70
SG: Pnma (62)
Distance to the lowest polymorph of the same formula in eV/atom: 0.000
N(E_F) in states/eV/atom: 1.1375

abc: 6.0830 7.0677 8.9779
angles: 90.00 90.00 90.00
Element x y z (fractional)
Th  0.6348  0.5349  0.2500
Th  0.8652  0.0349  0.2500
Th  0.3652  0.4651  0.7500
Th  0.1348  0.9651  0.7500
Sc  0.1546  0.6770  0.0636
Sc  0.3454  0.1770  0.4364
Sc  0.8454  0.3230  0.5636
Sc  0.6546  0.8230  0.9364
Sc  0.8454  0.3230  0.9364
Sc  0.6546  0.8230  0.5636
Sc  0.1546  0.6770  0.4364
Sc  0.3454  0.1770  0.0636
Ir  0.0745  0.3786  0.2500
Ir  0.4255  0.8786  0.2500
Ir  0.9255  0.6214  0.7500
Ir  0.5745  0.1214  0.7500


10.
Entry from Alexandria: crystalline NaHoTe4 at its relaxed geometry (GGA-PBE).

Values from the calculation:
E in eV per cell: -47.004
SG: P4/nbm (125)
N(E_F) in states/eV/atom: 0.1793
Energy relative to the elements, uncorrected in eV per formula unit: -5.04

abc: 6.7916 6.7916 8.1816
angles: 90.00 90.00 90.00
Element x y z (fractional)
Na  0.5000  0.5000  0.5000
Na  0.0000  0.0000  0.5000
Ho  0.5000  0.5000  0.0000
Ho  0.0000  0.0000  0.0000
Te  0.6476  0.8524  0.2272
Te  0.1476  0.6476  0.2272
Te  0.8524  0.3524  0.2272
Te  0.6476  0.1476  0.7728
Te  0.3524  0.8524  0.7728
Te  0.3524  0.1476  0.2272
Te  0.8524  0.6476  0.7728
Te  0.1476  0.3524  0.7728


11.
Entry from Alexandria: crystalline Pm2IrS at its relaxed geometry (GGA-PBE).

Values from the calculation:
E in eV per cell: -55.668
SG: Cmcm (63)
Distance to the lowest polymorph of the same formula in eV/atom: 0.000
N(E_F) in states/eV/atom: 0.4492
Energy relative to the elements, uncorrected in eV per formula unit: -5.34

abc: 4.1011 4.0247 11.5943
angles: 100.00 90.00 90.00
Element x y z (fractional)
Pm  0.7500  0.6804  0.3608
Pm  0.2500  0.3196  0.6392
Pm  0.7500  0.9329  0.8657
Pm  0.2500  0.0671  0.1343
Ir  0.2500  0.4584  0.9169
Ir  0.7500  0.5416  0.0831
S  0.2500  0.1922  0.3844
S  0.7500  0.8078  0.6156


12.
Entry from Alexandria: crystalline VPSe2N at its relaxed geometry (GGA-PBE).

Values from the calculation:
E in eV per cell: -26.574
SG: P4/mmm (123)
Distance to the lowest polymorph of the same formula in eV/atom: 0.294
N(E_F) in states/eV/atom: 1.1766
Energy relative to the elements, uncorrected in eV per formula unit: 3.25

abc: 4.9425 4.9425 3.2813
angles: 90.00 90.00 90.00
Each line ends with the local moment (μB).
Element x y z (fractional)
P  0.0000  0.0000  0.0000  0.00
N  0.0000  0.0000  0.5000  0.01
Se  0.0000  0.5000  0.0000  0.07
Se  0.5000  0.0000  0.0000  0.07
V  0.5000  0.5000  0.5000  -0.80


13.
Entry from Alexandria: crystalline Li7Ca2 at its relaxed geometry (GGA-PBE).

Values from the calculation:
E in eV per cell: -34.577
Formation energy in kJ/mol of atoms: 1.19
SG: R-3m (166)
N(E_F) in states/eV/atom: 0.7112

abc: 6.1006 6.1006 14.5459
angles: 77.90 77.90 60.00
Element x y z (fractional)
Li  0.5000  0.5000  0.5000
Li  0.2781  0.2781  0.1656
Li  0.7219  0.7219  0.8344
Li  0.3888  0.3888  0.8335
Li  0.6112  0.6112  0.1665
Li  0.5000  0.0000  0.0000
Li  0.0000  0.5000  0.0000
Li  0.5000  0.5000  0.0000
Li  0.6113  0.6113  0.6707
Li  0.6113  0.1066  0.6707
Li  0.1066  0.6113  0.6707
Li  0.3887  0.3887  0.3293
Li  0.3887  0.8934  0.3293
Li  0.8934  0.3887  0.3293
Ca  0.0522  0.0522  0.8433
Ca  0.9478  0.9478  0.1567
Ca  0.1486  0.1486  0.5543
Ca  0.8514  0.8514  0.4457


14.
Entry from Alexandria: crystalline CdAsCl2 at its relaxed geometry (GGA-PBE).

Values from the calculation:
E in eV per cell: -8.731
SG: P4/mmm (123)
Distance to the lowest polymorph of the same formula in eV/atom: 0.534
N(E_F) in states/eV/atom: 0.7970
Energy relative to the elements, uncorrected in eV per formula unit: 0.53

abc: 4.1259 4.5964 4.5964
angles: 90.00 90.00 90.00
Element x y z (fractional)
As  0.5000  0.5000  0.0000
Cl  0.0000  0.0000  0.0000
Cl  0.0000  0.5000  0.5000
Cd  0.5000  0.0000  0.5000


15.
Entry from Alexandria: crystalline Nb2Te4Cl at its relaxed geometry (GGA-PBE).

Values from the calculation:
E in eV per cell: -74.213
SG: Cm (8)
N(E_F) in states/eV/atom: 0.1984
Energy relative to the elements, uncorrected in eV per formula unit: -2.55

abc: 9.1379 8.3713 7.5369
angles: 110.12 120.66 104.51
Element x y z (fractional)
Nb  0.6736  0.3265  0.8617
Nb  0.5428  0.8477  0.1268
Nb  0.6444  0.3556  0.2698
Nb  0.1522  0.4572  0.7362
Te  0.8262  0.1734  0.1627
Te  0.4171  0.5829  0.2290
Te  0.9013  0.5863  0.7971
Te  0.8439  0.1563  0.6620
Te  0.4140  0.0987  0.3096
Te  0.3132  0.1795  0.7637
Te  0.4619  0.5377  0.7097
Te  0.8203  0.6867  0.2711
Cl  0.2423  0.7575  0.7252
Cl  0.9970  0.0040  0.8756


16.
Entry from Alexandria: crystalline MgScTlCd at its relaxed geometry (GGA-PBE).

Values from the calculation:
E in eV per cell: -11.974
Formation energy in kJ/mol of atoms: -18.48
SG: F-43m (216)
Distance to the lowest polymorph of the same formula in eV/atom: 0.034
N(E_F) in states/eV/atom: 0.3399

abc: 5.0293 5.0293 5.0293
angles: 60.00 60.00 60.00
Element x y z (fractional)
Sc  0.0000  0.0000  0.0000
Tl  0.2500  0.2500  0.2500
Mg  0.5000  0.5000  0.5000
Cd  0.7500  0.7500  0.7500


17.
Entry from Alexandria: crystalline Er2Si3 at its relaxed geometry (GGA-PBE).

Values from the calculation:
E in eV per cell: -28.429
SG: Pmm2 (25)
Distance to the lowest polymorph of the same formula in eV/atom: 0.070
N(E_F) in states/eV/atom: 0.2290
Energy relative to the elements, uncorrected in eV per formula unit: -3.03

abc: 3.8316 3.9803 6.7640
angles: 90.00 90.00 90.00
Element x y z (fractional)
Er  0.0000  0.5000  0.0034
Er  0.5000  0.5000  0.4946
Si  0.5000  0.0000  0.8093
Si  0.5000  0.0000  0.1554
Si  0.0000  0.0000  0.3654


18.
Entry from Alexandria: crystalline Re2Rh at its relaxed geometry (GGA-PBE).

Values from the calculation:
E in eV per cell: -62.204
Formation energy in kJ/mol of atoms: 36.84
SG: Fd-3m (227)
Distance to the lowest polymorph of the same formula in eV/atom: 0.516
N(E_F) in states/eV/atom: 0.8813

abc: 5.1197 5.1197 5.1197
angles: 60.00 60.00 60.00
Element x y z (fractional)
Re  0.1250  0.6250  0.1250
Re  0.1250  0.1250  0.6250
Re  0.6250  0.1250  0.1250
Re  0.1250  0.1250  0.1250
Rh  0.7500  0.7500  0.7500
Rh  0.5000  0.5000  0.5000


19.
Entry from Alexandria: crystalline LaRe2Ni at its relaxed geometry (GGA-PBE).

Values from the calculation:
E in eV per cell: -31.923
Formation energy in kJ/mol of atoms: 88.82
SG: Fm-3m (225)
Distance to the lowest polymorph of the same formula in eV/atom: 0.827
N(E_F) in states/eV/atom: 1.3208

abc: 4.5563 4.5563 4.5563
angles: 60.00 60.00 60.00
Element x y z (fractional)
Re  0.2500  0.2500  0.2500
Re  0.7500  0.7500  0.7500
Ni  0.0000  0.0000  0.0000
La  0.5000  0.5000  0.5000


20.
Entry from Alexandria: crystalline DyIn2S4 at its relaxed geometry (GGA-PBE).

Values from the calculation:
E in eV per cell: -33.223
SG: C2/m (12)
Distance to the lowest polymorph of the same formula in eV/atom: 0.049
N(E_F) in states/eV/atom: 0.5239
Energy relative to the elements, uncorrected in eV per formula unit: -6.63

abc: 4.1615 6.6169 7.2712
angles: 103.26 90.00 108.33
Element x y z (fractional)
Dy  0.0000  0.0000  0.0000
In  0.6320  0.2637  0.5654
In  0.3680  0.7363  0.4346
S  0.8544  0.7091  0.6411
S  0.1456  0.2909  0.3589
S  0.6140  0.2280  0.8968
S  0.3860  0.7720  0.1032


21.
Entry from Alexandria: crystalline K2MnHg at its relaxed geometry (GGA-PBE).

Values from the calculation:
E in eV per cell: -9.694
Formation energy in kJ/mol of atoms: 47.58
SG: Pmmm (47)
N(E_F) in states/eV/atom: 1.0159

abc: 5.3701 5.3595 4.9649
angles: 90.00 90.00 90.00
Each line ends with the local moment (μB).
Element x y z (fractional)
Hg  0.0000  0.5000  0.5000  -0.02
K  0.0000  0.0000  0.0000  -0.01
K  0.5000  0.5000  0.0000  -0.01
Mn  0.5000  0.0000  0.5000  4.20


22.
Entry from Alexandria: crystalline TaAl2Os at its relaxed geometry (GGA-PBE).

Values from the calculation:
E in eV per cell: -31.418
Formation energy in kJ/mol of atoms: -20.52
SG: P2/m (10)
Distance to the lowest polymorph of the same formula in eV/atom: 0.173
N(E_F) in states/eV/atom: 0.5423

abc: 4.2508 2.9225 5.1462
angles: 79.31 90.00 90.00
Element x y z (fractional)
Os  0.5000  0.2500  0.2500
Al  0.0000  0.0911  0.0120
Al  0.0000  0.4089  0.4880
Ta  0.5000  0.7500  0.7500


23.
Entry from Alexandria: crystalline BaTbO3 at its relaxed geometry (GGA-PBE).

Values from the calculation:
E in eV per cell: -69.858
SG: I4/mcm (140)
N(E_F) in states/eV/atom: 0.9947
Energy relative to the elements, uncorrected in eV per formula unit: -13.50

abc: 6.2289 6.2289 6.2896
angles: 119.68 119.68 90.00
Each line ends with the local moment (μB).
Element x y z (fractional)
Tb  0.5000  0.5000  0.0000  0.03
Tb  0.0000  0.0000  0.0000  0.03
Ba  0.2500  0.7500  0.5000  -0.01
Ba  0.7500  0.2500  0.5000  -0.01
O  0.7500  0.7500  0.5000  0.26
O  0.2500  0.2500  0.5000  0.26
O  0.8098  0.6902  0.0000  0.29
O  0.1902  0.3098  0.0000  0.29
O  0.6902  0.1902  0.0000  0.30
O  0.3098  0.8098  0.0000  0.30


24.
Entry from Alexandria: crystalline DyBePt at its relaxed geometry (GGA-PBE).

Values from the calculation:
E in eV per cell: -16.958
Formation energy in kJ/mol of atoms: -83.27
SG: P-6m2 (187)
Distance to the lowest polymorph of the same formula in eV/atom: 0.002
N(E_F) in states/eV/atom: 0.4812

abc: 3.9058 4.0188 4.0188
angles: 120.00 90.00 90.00
Element x y z (fractional)
Be  0.1664  0.6667  0.3333
Pt  0.1668  0.0000  0.0000
Dy  0.6668  0.3333  0.6667


25.
Entry from Alexandria: crystalline Cu2SiAs at its relaxed geometry (GGA-PBE).

Values from the calculation:
E in eV per cell: -17.042
SG: Fm-3m (225)
N(E_F) in states/eV/atom: 0.4380
Energy relative to the elements, uncorrected in eV per formula unit: 1.22

abc: 4.3795 4.3795 4.3795
angles: 60.00 60.00 60.00
Element x y z (fractional)
As  0.5000  0.5000  0.5000
Si  0.0000  0.0000  0.0000
Cu  0.2500  0.2500  0.2500
Cu  0.7500  0.7500  0.7500


26.
Entry from Alexandria: crystalline Tb3CeZn4 at its relaxed geometry (GGA-PBE).

Values from the calculation:
E in eV per cell: -27.248
Formation energy in kJ/mol of atoms: -28.07
SG: R-3m (166)
N(E_F) in states/eV/atom: 1.6295

abc: 5.0855 5.0855 8.7938
angles: 73.19 73.19 60.00
Each line ends with the local moment (μB).
Element x y z (fractional)
Zn  0.8743  0.8743  0.3772  0.01
Zn  0.3764  0.3764  0.8708  0.01
Zn  0.1257  0.1257  0.6228  0.01
Zn  0.6236  0.6236  0.1292  0.01
Tb  0.2508  0.2508  0.2476  0.06
Tb  0.7492  0.7492  0.7524  0.06
Tb  0.5000  0.5000  0.5000  0.03
Ce  0.0000  0.0000  0.0000  0.62


no.,spin magnetization (μB/cell)
1,0.00
2,0.00
3,1.87
4,3.76
5,0.00
6,0.00
7,0.19
8,0.00
9,0.00
10,0.00
11,0.00
12,0.76
13,0.00
14,0.00
15,0.00
16,0.00
17,0.00
18,0.00
19,0.00
20,0.00
21,4.26
22,0.00
23,2.00
24,0.00
25,0.00
26,1.02